No. 1
{
  "formula": "YCr3F",
  "functional": "GGA+U",
  "state": "relaxed",
  "lattice_angstrom": [[5.8811, 0.0000, 0.0000], [0.0000, 5.8811, 0.0000], [0.0000, 0.0000, 5.8811]],
  "species": ["F", "Cr", "Cr", "Cr", "Y"],
  "frac_coords": [[0.5000, 0.5000, 0.5000], [0.0000, 0.5000, 0.0000], [0.0000, 0.0000, 0.5000], [0.5000, 0.0000, 0.0000], [0.0000, 0.0000, 0.0000]],
  "dft_energy_ev_per_fu": -24.09,
  "magmom_total_mub_per_atom": 3.218,
  "rho_g_cm3": 2.15,
  "space_group": "No. 221",
  "dos_ef_per_ev_atom": 0.726,
  "polymorph_energy_ev_per_fu": 6.71
}

***

No. 2
{
  "formula": "YCr2F",
  "functional": "GGA+U",
  "state": "relaxed",
  "lattice_angstrom": [[8.5753, 0.0000, 0.0000], [0.0000, 8.5753, 0.0000], [4.2876, 4.2876, 2.3471]],
  "species": ["F", "F", "Cr", "Cr", "Cr", "Cr", "Y", "Y"],
  "frac_coords": [[0.2500, 0.7500, 0.5000], [0.5000, 0.5000, 0.0000], [0.3750, 0.4595, 0.7500], [0.8750, 0.7905, 0.7500], [0.2095, 0.6250, 0.2500], [0.5405, 0.1250, 0.2500], [0.7500, 0.2500, 0.5000], [0.0000, 0.0000, 0.0000]],
  "dft_energy_ev_per_fu": -24.93,
  "magmom_total_mub_per_atom": 2.384,
  "rho_g_cm3": 4.08,
  "space_group": "No. 122",
  "dos_ef_per_ev_atom": 0.746,
  "polymorph_energy_ev_per_fu": 0.00
}

***

No. 3
{
  "formula": "YCr2F",
  "functional": "GGA+U",
  "state": "relaxed",
  "lattice_angstrom": [[0.0000, 3.5450, 3.5450], [3.5450, 0.0000, 3.5450], [3.5450, 3.5450, 0.0000]],
  "species": ["Y", "Cr", "Cr", "F"],
  "frac_coords": [[0.5000, 0.5000, 0.5000], [0.2500, 0.2500, 0.2500], [0.7500, 0.7500, 0.7500], [0.0000, 0.0000, 0.0000]],
  "dft_energy_ev_per_fu": -22.51,
  "magmom_total_mub_per_atom": 2.523,
  "rho_g_cm3": 3.95,
  "space_group": "No. 225",
  "dos_ef_per_ev_atom": 0.248,
  "polymorph_energy_ev_per_fu": 2.42
}

***

No. 4
{
  "formula": "YCr2F2",
  "functional": "GGA+U",
  "state": "relaxed",
  "lattice_angstrom": [[5.9451, 0.0000, 0.0000], [0.0000, 5.9451, 0.0000], [0.0000, 0.0000, 5.9707]],
  "species": ["F", "F", "F", "F", "Cr", "Cr", "Cr", "Cr", "Y", "Y"],
  "frac_coords": [[0.3186, 0.1814, 0.0000], [0.6814, 0.8186, 0.0000], [0.1814, 0.6814, 0.0000], [0.8186, 0.3186, 0.0000], [0.6882, 0.8118, 0.5000], [0.8118, 0.3118, 0.5000], [0.3118, 0.1882, 0.5000], [0.1882, 0.6882, 0.5000], [0.0000, 0.0000, 0.0000], [0.5000, 0.5000, 0.0000]],
  "dft_energy_ev_per_fu": -32.64,
  "magmom_total_mub_per_atom": 2.012,
  "rho_g_cm3": 3.63,
  "space_group": "No. 127",
  "dos_ef_per_ev_atom": 0.528,
  "polymorph_energy_ev_per_fu": 0.00
}

***

No. 5
{
  "formula": "ZnCrF5",
  "functional": "GGA+U",
  "state": "relaxed",
  "lattice_angstrom": [[9.9074, 0.0000, 0.0000], [0.0000, 5.2319, -0.0871], [0.0000, 2.4801, 7.1562]],
  "species": ["Zn", "Zn", "Zn", "Zn", "F", "F", "F", "F", "F", "F", "F", "F", "F", "F", "F", "F", "F", "F", "F", "F", "F", "F", "F", "F", "Cr", "Cr", "Cr", "Cr"],
  "frac_coords": [[0.4906, 0.5107, 0.7183], [0.5094, 0.4893, 0.2817], [0.0094, 0.5107, 0.2183], [0.9906, 0.4893, 0.7817], [0.4056, 0.1588, 0.7809], [0.6359, 0.7716, 0.6671], [0.8641, 0.7716, 0.1671], [0.7975, 0.0986, 0.3736], [0.8808, 0.3736, 0.5994], [0.3928, 0.6657, 0.4667], [0.3808, 0.6264, 0.9006], [0.8928, 0.3343, 0.0333], [0.1072, 0.6657, 0.9667], [0.2025, 0.9014, 0.6264], [0.7025, 0.0986, 0.8736], [0.1192, 0.6264, 0.4006], [0.0945, 0.1588, 0.2809], [0.1359, 0.2284, 0.8329], [0.6192, 0.3736, 0.0994], [0.9056, 0.8412, 0.7191], [0.2975, 0.9014, 0.1264], [0.6072, 0.3343, 0.5333], [0.3641, 0.2284, 0.3329], [0.5944, 0.8412, 0.2191], [0.2553, 0.9233, 0.8702], [0.7553, 0.0767, 0.6298], [0.2447, 0.9233, 0.3702], [0.7447, 0.0767, 0.1298]],
  "dft_energy_ev_per_fu": -35.74,
  "magmom_total_mub_per_atom": 0.429,
  "rho_g_cm3": 3.78,
  "space_group": "No. 14",
  "dos_ef_per_ev_atom": 0.000,
  "polymorph_energy_ev_per_fu": 0.00
}

***

No. 6
{
  "formula": "ZnCr2F",
  "functional": "GGA+U",
  "state": "relaxed",
  "lattice_angstrom": [[0.0000, 3.1995, 3.1995], [3.1995, 0.0000, 3.1995], [3.1995, 3.1995, 0.0000]],
  "species": ["F", "Cr", "Cr", "Zn"],
  "frac_coords": [[0.0000, 0.0000, 0.0000], [0.7500, 0.7500, 0.7500], [0.2500, 0.2500, 0.2500], [0.5000, 0.5000, 0.5000]],
  "dft_energy_ev_per_fu": -18.69,
  "magmom_total_mub_per_atom": 2.349,
  "rho_g_cm3": 4.78,
  "space_group": "No. 225",
  "dos_ef_per_ev_atom": 0.354,
  "polymorph_energy_ev_per_fu": 0.67
}

***

No. 7
{
  "formula": "ZnCr4F12",
  "functional": "GGA+U",
  "state": "relaxed",
  "lattice_angstrom": [[-5.4503, -2.7614, -2.8389], [4.7032, -4.8221, 0.1352], [-1.2634, 2.2111, 6.2374]],
  "species": ["F", "F", "F", "F", "F", "F", "F", "F", "F", "F", "F", "F", "Zn", "Cr", "Cr", "Cr", "Cr"],
  "frac_coords": [[0.0914, 0.7775, 0.3138], [0.2920, 0.1002, 0.8082], [0.4637, 0.7775, 0.6862], [0.9086, 0.2225, 0.6862], [0.1818, 0.3036, 0.4854], [0.7080, 0.5162, 0.8082], [0.7080, 0.8998, 0.1918], [0.5363, 0.2225, 0.3138], [0.8182, 0.6964, 0.5146], [0.1818, 0.6964, 0.8783], [0.2920, 0.4838, 0.1918], [0.8182, 0.3036, 0.1217], [0.0000, 0.5000, 0.5000], [0.5000, 0.0000, 0.0000], [0.0000, 0.5000, 0.0000], [0.0000, 0.0000, 0.5000], [0.5000, 0.5000, 0.5000]],
  "dft_energy_ev_per_fu": -96.91,
  "magmom_total_mub_per_atom": 0.824,
  "rho_g_cm3": 3.55,
  "space_group": "No. 71",
  "dos_ef_per_ev_atom": 0.163
}

***

No. 8
{
  "formula": "ZnCrF6",
  "functional": "GGA+U",
  "state": "relaxed",
  "lattice_angstrom": [[-4.5011, -2.0476, 1.3501], [-0.2377, -4.8900, 1.5278], [-0.8906, -1.0090, 5.2411]],
  "species": ["F", "F", "F", "F", "F", "F", "Zn", "Cr"],
  "frac_coords": [[0.6204, 0.8528, 0.2608], [0.3796, 0.1472, 0.7392], [0.1471, 0.7341, 0.7391], [0.7342, 0.3797, 0.7390], [0.2658, 0.6203, 0.2610], [0.8529, 0.2659, 0.2609], [0.0000, 0.0000, 0.0000], [0.5000, 0.5000, 0.5000]],
  "dft_energy_ev_per_fu": -38.66,
  "magmom_total_mub_per_atom": 0.250,
  "rho_g_cm3": 3.73,
  "space_group": "No. 148",
  "dos_ef_per_ev_atom": 0.000
}

***

No. 9
{
  "formula": "ZnCr2F6",
  "functional": "GGA+U",
  "state": "relaxed",
  "lattice_angstrom": [[4.8921, 0.0000, 0.0000], [0.0000, 5.4458, 0.2389], [0.0000, 0.4209, 9.4028]],
  "species": ["F", "F", "F", "F", "F", "F", "F", "F", "F", "F", "F", "F", "Cr", "Cr", "Cr", "Cr", "Zn", "Zn"],
  "frac_coords": [[0.3049, 0.6740, 0.1762], [0.2595, 0.6754, 0.8436], [0.7595, 0.8246, 0.6564], [0.7984, 0.3213, 0.4744], [0.2016, 0.6787, 0.5256], [0.6951, 0.3260, 0.8238], [0.8049, 0.8260, 0.3238], [0.2405, 0.1754, 0.3436], [0.7405, 0.3246, 0.1564], [0.7016, 0.8213, 0.9744], [0.1951, 0.1740, 0.6762], [0.2984, 0.1787, 0.0256], [0.0295, 0.5011, 0.3159], [0.5295, 0.9989, 0.1841], [0.9705, 0.4989, 0.6841], [0.4705, 0.0011, 0.8159], [0.5000, 0.5000, 0.0000], [0.0000, 0.0000, 0.5000]],
  "dft_energy_ev_per_fu": -49.48,
  "magmom_total_mub_per_atom": 0.889,
  "rho_g_cm3": 3.76,
  "space_group": "No. 14",
  "dos_ef_per_ev_atom": 0.000
}

***

No. 10
{
  "formula": "Zn3CrF8",
  "functional": "GGA+U",
  "state": "relaxed",
  "lattice_angstrom": [[6.2753, 0.0000, 0.0000], [-3.1376, 5.4345, 0.0000], [0.0000, 0.0000, 9.7064]],
  "species": ["F", "F", "F", "F", "F", "F", "F", "F", "F", "F", "F", "F", "F", "F", "F", "F", "Zn", "Zn", "Zn", "Zn", "Zn", "Zn", "Cr", "Cr"],
  "frac_coords": [[0.4763, 0.5237, 0.3357], [0.9527, 0.4763, 0.8357], [0.5237, 0.0473, 0.8357], [0.8329, 0.6658, 0.1055], [0.6667, 0.3333, 0.6038], [0.6658, 0.8329, 0.6055], [0.4763, 0.9527, 0.3357], [0.3333, 0.6667, 0.1038], [0.8329, 0.1671, 0.1055], [0.0000, 0.0000, 0.8112], [0.0473, 0.5237, 0.3357], [0.1671, 0.8329, 0.6055], [0.0000, 0.0000, 0.3112], [0.3342, 0.1671, 0.1055], [0.1671, 0.3342, 0.6055], [0.5237, 0.4763, 0.8357], [0.8331, 0.6663, 0.7100], [0.3337, 0.1669, 0.7100], [0.6663, 0.8331, 0.2100], [0.8331, 0.1669, 0.7100], [0.1669, 0.8331, 0.2100], [0.1669, 0.3337, 0.2100], [0.6667, 0.3333, 0.9884], [0.3333, 0.6667, 0.4884]],
  "dft_energy_ev_per_fu": -53.45,
  "magmom_total_mub_per_atom": 0.333,
  "rho_g_cm3": 4.02,
  "space_group": "No. 186",
  "dos_ef_per_ev_atom": 0.514
}

***

No. 11
{
  "formula": "ZnCr2F",
  "functional": "GGA+U",
  "state": "relaxed",
  "lattice_angstrom": [[-2.9972, 4.3292, 4.1103], [-0.9461, -4.8856, 4.4559], [0.7469, 0.3755, 5.5770]],
  "species": ["F", "F", "Cr", "Cr", "Cr", "Cr", "Zn", "Zn"],
  "frac_coords": [[0.2500, 0.7500, 0.5000], [0.5000, 0.5000, 0.0000], [0.3750, 0.4313, 0.7500], [0.5687, 0.1250, 0.2500], [0.8750, 0.8187, 0.7500], [0.1813, 0.6250, 0.2500], [0.0000, 0.0000, 0.0000], [0.7500, 0.2500, 0.5000]],
  "dft_energy_ev_per_fu": -19.36,
  "magmom_total_mub_per_atom": 2.347,
  "rho_g_cm3": 4.55,
  "space_group": "No. 122",
  "dos_ef_per_ev_atom": 0.523,
  "polymorph_energy_ev_per_fu": 0.00
}

***

No. 12
{
  "formula": "ZnCr2F8",
  "functional": "GGA+U",
  "state": "relaxed",
  "lattice_angstrom": [[-0.7719, 4.5301, 3.7256], [-4.2198, 1.0208, -2.9844], [-0.6455, -3.7883, 3.6037]],
  "species": ["F", "F", "F", "F", "F", "F", "F", "F", "Zn", "Cr", "Cr"],
  "frac_coords": [[0.8134, 0.3520, 0.3520], [0.8532, 0.6203, 0.9495], [0.5000, 0.1990, 0.8010], [0.1866, 0.6480, 0.6480], [0.8532, 0.9495, 0.6203], [0.1468, 0.0505, 0.3797], [0.5000, 0.8010, 0.1990], [0.1468, 0.3797, 0.0505], [0.5000, 0.0000, 0.0000], [0.0000, 0.6746, 0.3254], [0.0000, 0.3254, 0.6746]],
  "dft_energy_ev_per_fu": -57.33,
  "magmom_total_mub_per_atom": 0.545,
  "rho_g_cm3": 3.67,
  "space_group": "No. 12",
  "dos_ef_per_ev_atom": 0.000
}